A relaxed structure of MgRe2SnP. Source: Alexandria, functional PBE.

Computed properties:
E_tot in eV/atom: -5.20

abc: 4.7548 4.7548 4.3221
angles: 90.00 90.00 90.00
With the nearest neighbours (Å) after each atom.
Sites, in units of the cell vectors:
Mg: 0.0000 0.0000 0.0000  2 P 2.16, 4 Re 2.38
Re: 0.0000 0.5000 0.0000  2 Mg 2.38
Re: 0.5000 0.0000 0.0000  2 Mg 2.38
Sn: 0.5000 0.5000 0.5000  8 Re 3.21, 4 P 3.36
P: 0.0000 0.0000 0.5000  2 Mg 2.16

=====

A relaxed structure of MgP2Rh2. Source: Alexandria, functional PBE.

Computed properties:
E_tot in eV/atom: -5.75

abc: 7.0076 7.0076 3.0117
angles: 90.00 90.00 90.00
With the nearest neighbours (Å) after each atom.
Sites, in units of the cell vectors:
Mg: 0.0000 0.0000 0.0000  4 P 2.69
Mg: 0.5000 0.5000 0.0000  4 P 2.69
P: 0.1446 0.3554 0.0000  6 Rh 2.52-2.58, 2 Mg 2.69
P: 0.3554 0.8554 0.0000  6 Rh 2.52-2.58, 2 Mg 2.69
P: 0.6446 0.1446 0.0000  6 Rh 2.52-2.58, 2 Mg 2.69
P: 0.8554 0.6446 0.0000  6 Rh 2.52-2.58, 2 Mg 2.69
Rh: 0.1441 0.6441 0.5000  6 P 2.52-2.58
Rh: 0.3559 0.1441 0.5000  6 P 2.52-2.58
Rh: 0.6441 0.8559 0.5000  6 P 2.52-2.58
Rh: 0.8559 0.3559 0.5000  6 P 2.52-2.58

=====

A relaxed structure of Mg2P3Rh5. Source: Alexandria, functional PBE.

Computed properties:
E_tot in eV/atom: -6.31

abc: 12.0979 12.0979 6.1372
angles: 90.00 90.00 161.30
With the nearest neighbours (Å) after each atom.
Sites, in units of the cell vectors:
Mg: 0.0192 0.9808 0.5000  5 P 2.54-2.82, 3 Rh 2.80-2.81
Mg: 0.3297 0.6703 0.4627  7 Rh 2.73-2.91, 3 P 2.85-2.99
Mg: 0.6703 0.3297 0.9627  7 Rh 2.73-2.91, 3 P 2.85-2.99
Mg: 0.9808 0.0192 0.0000  5 P 2.54-2.82, 3 Rh 2.80-2.81
P: 0.1059 0.8941 0.7394  4 Rh 2.27-2.41, 1 Mg 2.54
P: 0.2800 0.7200 0.9100  7 Rh 2.30-2.53
P: 0.4556 0.5444 0.7170  5 Rh 2.35-2.44
P: 0.5444 0.4556 0.2170  5 Rh 2.35-2.44
P: 0.7200 0.2800 0.4100  7 Rh 2.30-2.53
P: 0.8941 0.1059 0.2394  4 Rh 2.27-2.41, 1 Mg 2.54
Rh: 0.0937 0.9063 0.1298  3 P 2.35-2.41
Rh: 0.1987 0.8013 0.6554  4 P 2.27-2.53
Rh: 0.2198 0.7802 0.2035  3 P 2.30-2.34
Rh: 0.3765 0.6235 0.9642  2 P 2.33-2.42
Rh: 0.4470 0.5530 0.3354  4 P 2.35-2.44
Rh: 0.5530 0.4470 0.8354  4 P 2.35-2.44
Rh: 0.6235 0.3765 0.4642  2 P 2.33-2.42
Rh: 0.7802 0.2198 0.7035  3 P 2.30-2.34
Rh: 0.8013 0.1987 0.1554  4 P 2.27-2.53
Rh: 0.9063 0.0937 0.6298  3 P 2.35-2.41

=====

A relaxed structure of Mg5PRh6. Source: Alexandria, functional PBE.

Computed properties:
E_tot in eV/atom: -5.39

abc: 7.4919 7.4919 7.4919
angles: 146.20 131.09 60.78
With the nearest neighbours (Å) after each atom.
Sites, in units of the cell vectors:
Mg: 0.0000 0.0000 0.0000  8 Rh 2.60-2.77
Mg: 0.1637 0.6637 0.5000  8 Rh 2.72-2.75, 4 Mg 2.97-3.04
Mg: 0.3203 0.3203 0.0000  8 Rh 2.64-2.71
Mg: 0.6797 0.6797 0.0000  8 Rh 2.64-2.71
Mg: 0.8363 0.3363 0.5000  8 Rh 2.72-2.75, 4 Mg 2.97-3.04
P: 0.5000 0.0000 0.5000  8 Rh 2.48-2.58
Rh: 0.1106 0.8447 0.2659  1 P 2.48, 7 Mg 2.60-2.75
Rh: 0.2763 0.5000 0.7763  2 P 2.58, 6 Mg 2.71-2.77, 1 Rh 2.78
Rh: 0.4211 0.1553 0.2659  1 P 2.48, 7 Mg 2.60-2.75
Rh: 0.5789 0.8447 0.7341  1 P 2.48, 7 Mg 2.60-2.75
Rh: 0.7237 0.5000 0.2237  2 P 2.58, 6 Mg 2.71-2.77, 1 Rh 2.78
Rh: 0.8894 0.1553 0.7341  1 P 2.48, 7 Mg 2.60-2.75

=====

A relaxed structure of MgP2Rh. Source: Alexandria, functional PBE.

Computed properties:
E_tot in eV/atom: -5.32

abc: 6.2818 6.2818 6.2818
angles: 33.52 33.52 33.52
With the nearest neighbours (Å) after each atom.
Sites, in units of the cell vectors:
Mg: 0.0000 0.0000 0.0000  6 P 2.74
P: 0.2341 0.2341 0.2341  3 Rh 2.41
P: 0.7659 0.7659 0.7659  3 Rh 2.41
Rh: 0.5000 0.5000 0.5000  6 P 2.41

=====

A relaxed structure of MgP2Rh. Source: Alexandria, functional PBE.

Computed properties:
E_tot in eV/atom: -5.25

abc: 6.4496 6.4496 6.4496
angles: 153.18 147.70 42.46
With the nearest neighbours (Å) after each atom.
Sites, in units of the cell vectors:
Mg: 0.0000 0.0000 0.0000  6 P 2.65-2.70
P: 0.3322 0.8322 0.5000  4 Rh 2.49, 2 Mg 2.70
P: 0.6050 0.6050 0.0000  2 Rh 2.40, 4 Mg 2.65
Rh: 0.7613 0.2613 0.5000  6 P 2.40-2.49